Record 1
Here is a relaxed MgCuSb2Te crystal from Alexandria. Energies are from PBE.

a b c (Å): 5.333 5.333 5.413
angles (deg): 90.00 90.00 90.00
Atoms (fractional coordinates):
1 Sb 0.500 0.000 0.000
2 Mg 0.000 0.000 0.000
3 Te 0.000 0.000 0.500
4 Cu 0.500 0.500 0.500
5 Sb 0.000 0.500 0.000

For the energy above the most stable polymorph in this dataset, the calculation gives 2.25 eV/f.u. The uncorrected formation energy comes out at 786 meV per atom. As for the total energy: -13.1 eV per formula unit.

***

Record 2
Here is a relaxed MgCuSb2Te crystal from Alexandria. Energies are from PBE.

a b c (Å): 5.050 5.050 5.399
angles (deg): 90.00 90.00 90.00
Atoms (fractional coordinates):
1 Sb 0.500 0.000 0.000
2 Sb 0.000 0.500 0.000
3 Cu 0.000 0.000 0.000
4 Te 0.000 0.000 0.500
5 Mg 0.500 0.500 0.500

For the energy above the most stable polymorph in this dataset, the calculation gives 0.00 eV/f.u. The uncorrected formation energy comes out at 335 meV per atom. As for the total energy: -15.4 eV per formula unit.

***

Record 3
Here is a relaxed MgCuSbTe2 crystal from Alexandria. Energies are from PBE.

a b c (Å): 5.331 5.331 4.918
angles (deg): 90.00 90.00 90.00
Atoms (fractional coordinates):
1 Te 0.500 0.000 0.000
2 Mg 0.500 0.500 0.500
3 Te 0.000 0.500 0.000
4 Sb 0.000 0.000 0.500
5 Cu 0.000 0.000 0.000

For the energy above the most stable polymorph in this dataset, the calculation gives 0.00 eV/f.u. The uncorrected formation energy comes out at 280 meV per atom. As for the total energy: -14.7 eV per formula unit.

***

Record 4
Here is a relaxed MgTl2CuSb2 crystal from Alexandria. Energies are from PBE.

a b c (Å): 6.293 6.423 9.286
angles (deg): 110.23 109.81 90.00
Atoms (fractional coordinates):
1 Sb 0.177 0.895 0.790
2 Mg 0.000 0.250 0.000
3 Sb 0.387 0.605 0.210
4 Tl 0.052 0.322 0.645
5 Tl 0.408 0.178 0.355
6 Sb 0.823 0.105 0.210
7 Cu 0.500 0.250 0.000
8 Tl 0.948 0.678 0.355
9 Tl 0.592 0.822 0.645
10 Cu 0.500 0.750 0.000
11 Mg 0.000 0.750 0.000
12 Sb 0.613 0.395 0.790

The uncorrected formation energy comes out at -69 meV per atom. As for the total energy: -19.1 eV per formula unit.

***

Record 5
Here is a relaxed MgTl2CuSb crystal from Alexandria. Energies are from PBE.

a b c (Å): 5.558 5.320 5.558
angles (deg): 90.00 90.00 90.00
Atoms (fractional coordinates):
1 Mg 0.000 0.000 0.000
2 Tl 0.500 0.000 0.000
3 Sb 0.000 0.500 0.000
4 Cu 0.500 0.500 0.500
5 Tl 0.000 0.000 0.500

The uncorrected formation energy comes out at 642 meV per atom. As for the total energy: -11.3 eV per formula unit.

***

Record 6
Here is a relaxed MgTlCuSb2 crystal from Alexandria. Energies are from PBE.

a b c (Å): 5.181 5.091 5.181
angles (deg): 90.00 90.00 90.00
Atoms (fractional coordinates):
1 Tl 0.000 0.500 0.000
2 Sb 0.500 0.000 0.000
3 Cu 0.000 0.000 0.000
4 Mg 0.500 0.500 0.500
5 Sb 0.000 0.000 0.500

The uncorrected formation energy comes out at 267 meV per atom. As for the total energy: -15.0 eV per formula unit.

***

Record 7
Here is a relaxed Mg2CuSbW crystal from Alexandria. Energies are from PBE.

a b c (Å): 5.256 5.106 5.256
angles (deg): 90.00 90.00 90.00
Site moments in Bohr magnetons follow the coordinates.
Atoms (fractional coordinates):
1 Mg 0.500 0.000 0.000  0.01
2 Mg 0.000 0.000 0.500  0.00
3 W 0.000 0.000 0.000  0.67
4 Cu 0.500 0.500 0.500  0.01
5 Sb 0.000 0.500 0.000  -0.03

The uncorrected formation energy comes out at 1142 meV per atom. As for the total energy: -18.6 eV per formula unit.

***

Record 8
Here is a relaxed YMgCu2Sb crystal from Alexandria. Energies are from PBE.

a b c (Å): 5.111 5.769 5.111
angles (deg): 90.00 90.00 90.00
Atoms (fractional coordinates):
1 Cu 0.000 0.000 0.500
2 Mg 0.500 0.500 0.500
3 Y 0.000 0.000 0.000
4 Cu 0.500 0.000 0.000
5 Sb 0.000 0.500 0.000

The uncorrected formation energy comes out at 713 meV per atom. As for the total energy: -16.8 eV per formula unit.

***

Record 9
Here is a relaxed Mg2Sc3Cu crystal from Alexandria. Energies are from PBE.

a b c (Å): 3.353 3.353 11.363
angles (deg): 90.00 90.00 90.00
Site moments in Bohr magnetons follow the coordinates.
Atoms (fractional coordinates):
1 Cu 0.500 0.500 0.500  0.00
2 Sc 0.000 0.000 0.635  0.00
3 Sc 0.000 0.000 0.365  0.00
4 Sc 0.000 0.000 0.000  0.16
5 Mg 0.500 0.500 0.821  0.00
6 Mg 0.500 0.500 0.179  0.00

Its formation enthalpy at 0 K is -0.11 eV/atom. As for the total energy: -26.9 eV per formula unit.

***

Record 10
Here is a relaxed Mg3Sc2Cu2 crystal from Alexandria. Energies are from PBE.

a b c (Å): 3.251 4.302 10.185
angles (deg): 102.19 90.00 90.00
Atoms (fractional coordinates):
1 Mg 0.500 0.420 0.839
2 Cu 0.500 0.714 0.429
3 Sc 0.000 0.824 0.649
4 Sc 0.000 0.176 0.351
5 Mg 0.000 0.000 0.000
6 Cu 0.500 0.286 0.571
7 Mg 0.500 0.580 0.161

Its formation enthalpy at 0 K is -0.16 eV/atom. As for the total energy: -26.7 eV per formula unit.

***

Record 11
Here is a relaxed MgSc5Cu6 crystal from Alexandria. Energies are from PBE.

a b c (Å): 4.572 6.514 7.947
angles (deg): 114.20 106.80 90.00
Atoms (fractional coordinates):
1 Mg 0.000 0.000 0.000
2 Sc 0.332 0.331 0.662
3 Sc 0.000 0.500 0.000
4 Cu 0.832 0.088 0.661
5 Cu 0.832 0.574 0.661
6 Cu 0.168 0.426 0.339
7 Sc 0.668 0.669 0.338
8 Sc 0.337 0.837 0.674
9 Sc 0.663 0.163 0.326
10 Cu 0.500 0.739 0.000
11 Cu 0.168 0.912 0.339
12 Cu 0.500 0.261 0.000

Its formation enthalpy at 0 K is -0.25 eV/atom. As for the total energy: -60.9 eV per formula unit.

***

Record 12
Here is a relaxed MgScCu crystal from Alexandria. Energies are from PBE.

a b c (Å): 3.269 3.269 6.569
angles (deg): 90.00 90.00 120.00
Atoms (fractional coordinates):
1 Sc 0.333 0.667 0.704
2 Cu 0.000 0.000 0.997
3 Mg 0.667 0.333 0.299

Its formation enthalpy at 0 K is 0.06 eV/atom. As for the total energy: -11.9 eV per formula unit.

***

| no. | M_tot (μB per formula unit) |
| --- | --- |
| 1 | 0.00 |
| 2 | 0.00 |
| 3 | 0.00 |
| 4 | 0.00 |
| 5 | 0.00 |
| 6 | 0.00 |
| 7 | 0.91 |
| 8 | 0.00 |
| 9 | 0.24 |
| 10 | 0.00 |
| 11 | 0.00 |
| 12 | 0.00 |